<a>
Computed, not measured: a relaxed Tb2MgCu crystal at the PBE level of DFT.

Output
M_tot	0.00	μB per formula unit
N(E_F)	1.19	states/eV per atom
crystal system	tetragonal
volume	98.1	Å³/cell

abc: 3.518 3.518 7.927
angles: 90.00 90.00 90.00
Element x y z (fractional)
Tb: 0.000 0.000 0.213
Tb: 0.000 0.000 0.787
Mg: 0.500 0.500 0.500
Cu: 0.500 0.500 0.000

<b>
Computed, not measured: a relaxed Tb2MgCu crystal at the PBE level of DFT.

Output
M_tot	0.00	μB per formula unit
N(E_F)	0.97	states/eV per atom
crystal system	cubic
volume	96.2	Å³/cell

abc: 5.143 5.143 5.143
angles: 60.00 60.00 60.00
Element x y z (fractional)
Tb: 0.250 0.250 0.250
Tb: 0.750 0.750 0.750
Mg: 0.000 0.000 0.000
Cu: 0.500 0.500 0.500

<c>
Computed, not measured: a relaxed Tb2MgCu crystal at the PBE level of DFT.

Output
M_tot	0.00	μB per formula unit
N(E_F)	0.84	states/eV per atom
crystal system	trigonal
volume	107.7	Å³/cell

abc: 11.076 11.076 11.076
angles: 17.54 17.54 17.54
Element x y z (fractional)
Tb: 0.101 0.101 0.101
Tb: 0.899 0.899 0.899
Mg: 0.000 0.000 0.000
Cu: 0.500 0.500 0.500

Most stable structure: <a>

<a>
Computed, not measured: a relaxed TbMg4Cu2 crystal at the PBE level of DFT.

Output
M_tot	0.00	μB per formula unit
N(E_F)	0.40	states/eV per atom
crystal system	tetragonal
volume	286.3	Å³/cell

abc: 9.125 9.125 3.439
angles: 90.00 90.00 90.00
Element x y z (fractional)
Tb: 0.000 0.000 0.000
Tb: 0.500 0.500 0.500
Mg: 0.083 0.318 0.500
Mg: 0.182 0.583 0.000
Mg: 0.318 0.083 0.500
Mg: 0.417 0.818 0.000
Mg: 0.583 0.182 0.000
Mg: 0.682 0.917 0.500
Mg: 0.818 0.417 0.000
Mg: 0.917 0.682 0.500
Cu: 0.186 0.814 0.500
Cu: 0.314 0.314 0.000
Cu: 0.686 0.686 0.000
Cu: 0.814 0.186 0.500

<b>
Computed, not measured: a relaxed TbMg4Cu2 crystal at the PBE level of DFT.

Output
M_tot	0.00	μB per formula unit
N(E_F)	0.58	states/eV per atom
crystal system	orthorhombic
volume	144.1	Å³/cell

abc: 8.417 8.417 4.181
angles: 90.00 90.00 150.89
Element x y z (fractional)
Tb: 0.000 0.000 0.000
Mg: 0.175 0.825 0.500
Mg: 0.324 0.676 0.000
Mg: 0.676 0.324 0.000
Mg: 0.825 0.175 0.500
Cu: 0.427 0.573 0.500
Cu: 0.573 0.427 0.500

Most stable structure: <a>

<a>
Computed, not measured: a relaxed Mg2CuTc crystal at the PBE level of DFT.

Output
M_tot	0.01	μB per formula unit
N(E_F)	0.63	states/eV per atom
crystal system	tetragonal
volume	65.3	Å³/cell

abc: 2.775 2.775 8.476
angles: 90.00 90.00 90.00
Element x y z (fractional)
Mg: 0.000 0.000 0.000
Mg: 0.500 0.500 0.310
Cu: 0.500 0.500 0.773
Tc: 0.000 0.000 0.558

<b>
Computed, not measured: a relaxed Mg2CuTc crystal at the PBE level of DFT.

Output
M_tot	1.55	μB per formula unit
N(E_F)	0.91	states/eV per atom
crystal system	cubic
volume	63.8	Å³/cell

abc: 4.486 4.486 4.486
angles: 60.00 60.00 60.00
Element x y z (fractional)
Mg: 0.000 0.000 0.000
Mg: 0.250 0.250 0.250
Cu: 0.750 0.750 0.750
Tc: 0.500 0.500 0.500

<c>
Computed, not measured: a relaxed Mg2CuTc crystal at the PBE level of DFT.

Output
M_tot	0.00	μB per formula unit
N(E_F)	0.46	states/eV per atom
crystal system	trigonal
volume	63.5	Å³/cell

abc: 9.230 9.230 9.230
angles: 17.71 17.71 17.71
Element x y z (fractional)
Mg: 0.248 0.248 0.248
Mg: 0.752 0.752 0.752
Cu: 0.500 0.500 0.500
Tc: 0.000 0.000 0.000

Most stable structure: <c>